No. 1
A relaxed structure of Al8Ni2Rh, computed with PBE.

Summary:
The calculated formation energy comes out at -0.42 eV/atom.

a b c (Å): 3.9473 6.7946 11.8350
angles (deg): 90.00 90.00 90.00
With the nearest neighbours (Å) after each atom.
Space group Immm (No. 71)
One atom of each set of equivalent atoms:
Al (0.0000, 0.0000, 0.1513)  2 Rh 2.66, 8 Al 2.67-2.74, 2 Ni 2.78
Al (0.0000, 0.2214, 0.3372)  3 Ni 2.49-2.63, 5 Al 2.67-2.76, 1 Rh 2.70
Al (0.0000, 0.3048, 0.0000)  2 Ni 2.54, 7 Al 2.65-2.76
Ni (0.0000, 0.5000, 0.1830)  10 Al 2.49-2.78
Rh (0.0000, 0.5000, 0.5000)  12 Al 2.66-2.86

=====

No. 2
A relaxed structure of Al3NiRh4, computed with PBE.

Summary:
The calculated formation energy comes out at -0.81 eV/atom.

a b c (Å): 4.2368 4.2368 5.9732
angles (deg): 90.00 90.00 90.00
With the nearest neighbours (Å) after each atom.
Space group P4/mmm (No. 123)
One atom of each set of equivalent atoms:
Al (0.0000, 0.0000, 0.0000)  8 Rh 2.59
Al (0.0000, 0.0000, 0.5000)  8 Rh 2.60
Al (0.5000, 0.5000, 0.0000)  8 Rh 2.59
Ni (0.5000, 0.5000, 0.5000)  8 Rh 2.60
Rh (0.0000, 0.5000, 0.2488)  6 Al 2.59-2.60, 2 Ni 2.60

=====

No. 3
A relaxed structure of Al2NiRh, computed with PBE.

Summary:
The calculated formation energy comes out at -0.70 eV/atom.

a b c (Å): 3.5571 3.5571 8.3472
angles (deg): 90.00 90.00 90.00
With the nearest neighbours (Å) after each atom.
Space group I-4m2 (No. 119)
One atom of each set of equivalent atoms:
Al (0.0000, 0.0000, 0.0000)  4 Rh 2.52, 4 Al 2.74, 4 Ni 2.74
Al (0.0000, 0.5000, 0.2500)  4 Ni 2.52, 4 Al 2.74, 4 Rh 2.74
Ni (0.0000, 0.5000, 0.7500)  8 Al 2.52-2.74, 4 Rh 2.74
Rh (0.0000, 0.0000, 0.5000)  8 Al 2.52-2.74, 4 Ni 2.74

=====

No. 4
A relaxed structure of AlNiRh4, computed with PBE.

Summary:
The calculated formation energy comes out at 0.21 eV/atom.

a b c (Å): 7.1626 7.1626 7.1626
angles (deg): 90.00 90.00 90.00
With the nearest neighbours (Å) after each atom.
Space group F-43m (No. 216)
One atom of each set of equivalent atoms:
Al (0.0000, 0.0000, 0.0000)  12 Rh 2.97, 4 Ni 3.10
Ni (0.2500, 0.2500, 0.7500)  12 Rh 2.97, 4 Al 3.10
Rh (0.1249, 0.1249, 0.3751)  6 Rh 2.53

=====

No. 5
A relaxed structure of Al4NiRh5, computed with PBE.

Summary:
The calculated formation energy comes out at -0.86 eV/atom.

a b c (Å): 2.9977 2.9977 14.9709
angles (deg): 90.00 90.00 90.00
With the nearest neighbours (Å) after each atom.
Space group P4/mmm (No. 123)
One atom of each set of equivalent atoms:
Al (0.0000, 0.0000, 0.1016)  8 Rh 2.58-2.61
Al (0.0000, 0.0000, 0.3054)  8 Rh 2.55-2.64
Ni (0.0000, 0.0000, 0.5000)  8 Rh 2.60
Rh (0.5000, 0.5000, 0.0000)  8 Al 2.61
Rh (0.5000, 0.5000, 0.1999)  8 Al 2.58-2.64
Rh (0.5000, 0.5000, 0.3999)  4 Al 2.55, 4 Ni 2.60

=====

No. 6
A relaxed structure of AlNi4Rh, computed with PBE.

Summary:
The calculated formation energy comes out at -0.15 eV/atom.

a b c (Å): 6.6153 6.6153 6.6153
angles (deg): 90.00 90.00 90.00
With the nearest neighbours (Å) after each atom.
Space group F-43m (No. 216)
One atom of each set of equivalent atoms:
Al (0.0000, 0.0000, 0.0000)  12 Ni 2.74, 4 Rh 2.86
Ni (0.1248, 0.1248, 0.6248)  6 Ni 2.34
Rh (0.2500, 0.2500, 0.2500)  12 Ni 2.74, 4 Al 2.86

=====

No. 7
A relaxed structure of Al5NiRh4, computed with PBE.

Summary:
The calculated formation energy comes out at -1.00 eV/atom.

a b c (Å): 2.9824 2.9824 14.9731
angles (deg): 90.00 90.00 90.00
With the nearest neighbours (Å) after each atom.
Space group P4/mmm (No. 123)
One atom of each set of equivalent atoms:
Al (0.0000, 0.0000, 0.0000)  8 Rh 2.60
Al (0.0000, 0.0000, 0.2038)  8 Rh 2.60-2.61
Al (0.0000, 0.0000, 0.4071)  4 Ni 2.53, 4 Rh 2.61, 1 Al 2.78
Ni (0.5000, 0.5000, 0.5000)  8 Al 2.53
Rh (0.5000, 0.5000, 0.1014)  8 Al 2.60-2.61
Rh (0.5000, 0.5000, 0.3048)  8 Al 2.60-2.61

=====

No. 8
A relaxed structure of Al3NiRh, computed with PBE.

Summary:
For the excess energy over the best structure of this formula in the dataset, the calculation gives 0.128 eV/atom. The calculated formation energy comes out at 0.16 eV/atom.

a b c (Å): 4.6010 4.6010 4.6010
angles (deg): 90.00 90.00 90.00
With the nearest neighbours (Å) after each atom.
Space group Pm-3m (No. 221)
One atom of each set of equivalent atoms:
Al (0.0000, 0.0000, 0.5000)  2 Rh 2.30
Ni (0.5000, 0.5000, 0.5000)  12 Al 3.25
Rh (0.0000, 0.0000, 0.0000)  6 Al 2.30

=====

No. 9
A relaxed structure of AlNi2Rh2, computed with PBE.

Summary:
For the excess energy over the best structure of this formula in the dataset, the calculation gives 0.053 eV/atom. The calculated formation energy comes out at -0.04 eV/atom.

a b c (Å): 6.3391 6.3391 3.5045
angles (deg): 90.00 90.00 90.00
With the nearest neighbours (Å) after each atom.
Space group P4/mbm (No. 127)
One atom of each set of equivalent atoms:
Al (0.0000, 0.0000, 0.0000)  4 Rh 2.44
Ni (0.1536, 0.3464, 0.5000)  6 Rh 2.53-2.57, 1 Ni 2.75
Rh (0.1432, 0.6432, 0.0000)  2 Al 2.44, 6 Ni 2.53-2.57, 1 Rh 2.57

=====

No. 10
A relaxed structure of Al8NiRh2, computed with PBE.

Summary:
The calculated formation energy comes out at -0.53 eV/atom.

a b c (Å): 4.1071 7.6604 10.4804
angles (deg): 90.00 90.00 90.00
With the nearest neighbours (Å) after each atom.
Space group Immm (No. 71)
One atom of each set of equivalent atoms:
Al (0.0000, 0.0000, 0.1317)  2 Ni 2.47, 2 Rh 2.63, 1 Al 2.76
Al (0.0000, 0.2168, 0.3438)  3 Rh 2.58-2.70, 3 Al 2.65-2.77, 1 Ni 2.72
Al (0.0000, 0.3268, 0.0000)  2 Rh 2.58, 7 Al 2.65-2.86
Ni (0.0000, 0.5000, 0.5000)  8 Al 2.47-2.72
Rh (0.0000, 0.5000, 0.2109)  10 Al 2.58-2.70

=====

No. 11
A relaxed structure of Al2NiRh, computed with PBE.

Summary:
The calculated formation energy comes out at -0.56 eV/atom.

a b c (Å): 2.8484 2.8484 23.2401
angles (deg): 90.00 90.00 120.00
With the nearest neighbours (Å) after each atom.
Space group R-3m (No. 166, hexagonal axes)
One atom of each set of equivalent atoms:
Al (0.0000, 0.0000, 0.2480)  3 Ni 2.51, 3 Rh 2.58
Ni (0.0000, 0.0000, 0.5000)  6 Al 2.51
Rh (0.0000, 0.0000, 0.0000)  6 Al 2.58, 6 Rh 2.85

=====

No. 12
A relaxed structure of Al2NiRh, computed with PBE.

Summary:
The calculated formation energy comes out at -0.57 eV/atom.

a b c (Å): 8.0512 2.9117 4.7546
angles (deg): 90.00 104.16 90.00
With the nearest neighbours (Å) after each atom.
Space group C2/m (No. 12)
One atom of each set of equivalent atoms:
Al (0.2463, 0.0000, 0.2420)  3 Ni 2.50-2.58, 3 Rh 2.56-2.57, 2 Al 2.74
Ni (0.0000, 0.5000, 0.0000)  6 Al 2.50-2.58, 4 Rh 2.79
Rh (0.0000, 0.0000, 0.5000)  6 Al 2.56-2.57, 4 Ni 2.79

=====

No. 13
A relaxed structure of AlNi5Rh4, computed with PBE.

Summary:
The calculated formation energy comes out at -0.14 eV/atom.

a b c (Å): 13.3396 3.7341 5.1957
angles (deg): 90.00 103.67 90.00
With the nearest neighbours (Å) after each atom.
Space group C2/m (No. 12)
One atom of each set of equivalent atoms:
Al (0.0000, 0.0000, 0.0000)  6 Rh 2.59-2.60, 6 Ni 2.60-2.66
Ni (0.0000, 0.0000, 0.5000)  6 Ni 2.57-2.60, 2 Al 2.60, 4 Rh 2.61
Ni (0.0995, 0.5000, 0.7937)  6 Rh 2.53-2.66, 4 Ni 2.57-2.63, 2 Al 2.66
Ni (0.2002, 0.0000, 0.6008)  7 Rh 2.59-2.63, 5 Ni 2.60-2.65
Rh (0.0971, 0.5000, 0.3046)  8 Ni 2.53-2.66, 2 Al 2.59, 2 Rh 2.68
Rh (0.2000, 0.0000, 0.1009)  7 Ni 2.59-2.61, 1 Al 2.60, 4 Rh 2.65-2.68

=====

No. 14
A relaxed structure of Al4NiRh, computed with PBE.

Summary:
The calculated formation energy comes out at -0.05 eV/atom.

a b c (Å): 7.0333 7.0333 7.0333
angles (deg): 90.00 90.00 90.00
With the nearest neighbours (Å) after each atom.
Space group F-43m (No. 216)
One atom of each set of equivalent atoms:
Al (0.1251, 0.1251, 0.1251)  6 Al 2.48-2.49
Ni (0.2500, 0.2500, 0.7500)  12 Al 2.92, 4 Rh 3.05
Rh (0.0000, 0.0000, 0.5000)  12 Al 2.92, 4 Ni 3.05

=====

No. 15
A relaxed structure of Al2NiRh, computed with PBE.

Summary:
The calculated formation energy comes out at -0.57 eV/atom.

a b c (Å): 3.1790 3.1790 5.3758
angles (deg): 90.00 90.00 90.00
With the nearest neighbours (Å) after each atom.
Space group P4mm (No. 99)
One atom of each set of equivalent atoms:
Al (0.0000, 0.0000, 0.0000)  4 Rh 2.50, 2 Ni 2.59-2.78, 4 Al 2.78
Al (0.5000, 0.5000, 0.3046)  4 Ni 2.44, 2 Rh 2.65-2.73
Ni (0.0000, 0.0000, 0.4826)  5 Al 2.44-2.59
Rh (0.5000, 0.5000, 0.7966)  6 Al 2.50-2.73

=====

No. 16
A relaxed structure of AlNi3Rh, computed with PBE.

Summary:
For the excess energy over the best structure of this formula in the dataset, the calculation gives 0.239 eV/atom. The calculated formation energy comes out at 1.11 eV/atom.

a b c (Å): 4.5004 4.5004 4.5004
angles (deg): 90.00 90.00 90.00
With the nearest neighbours (Å) after each atom.
Space group Pm-3m (No. 221)
One atom of each set of equivalent atoms:
Al (0.0000, 0.0000, 0.0000)  12 Ni 3.18
Ni (0.0000, 0.5000, 0.5000)  2 Rh 2.25
Rh (0.5000, 0.5000, 0.5000)  6 Ni 2.25

=====

No. 17
A relaxed structure of Al2NiRh2, computed with PBE.

Summary:
For the excess energy over the best structure of this formula in the dataset, the calculation gives 0.000 eV/atom. The calculated formation energy comes out at -0.59 eV/atom.

a b c (Å): 6.9079 6.9079 2.9176
angles (deg): 90.00 90.00 90.00
With the nearest neighbours (Å) after each atom.
Space group P4/mbm (No. 127)
One atom of each set of equivalent atoms:
Al (0.1435, 0.3565, 0.0000)  6 Rh 2.44-2.53, 2 Ni 2.65
Ni (0.0000, 0.0000, 0.0000)  4 Al 2.65, 2 Ni 2.92
Rh (0.1558, 0.6558, 0.5000)  6 Al 2.44-2.53

=====

No. 18
A relaxed structure of Al2NiRh, computed with PBE.

Summary:
The calculated formation energy comes out at -0.29 eV/atom.

a b c (Å): 6.4994 6.4994 5.4854
angles (deg): 90.00 90.00 90.00
With the nearest neighbours (Å) after each atom.
Space group I-42d (No. 122)
One atom of each set of equivalent atoms:
Al (0.2357, 0.2500, 0.1250)  2 Ni 2.34, 2 Rh 2.46
Ni (0.0000, 0.0000, 0.0000)  4 Al 2.34
Rh (0.0000, 0.0000, 0.5000)  4 Al 2.46, 2 Ni 2.74

=====

No. 19
A relaxed structure of Al3NiRh, computed with PBE.

Summary:
For the excess energy over the best structure of this formula in the dataset, the calculation gives 0.000 eV/atom. The calculated formation energy comes out at 0.03 eV/atom.

a b c (Å): 4.3545 4.3545 4.3545
angles (deg): 90.00 90.00 90.00
With the nearest neighbours (Å) after each atom.
Space group Pm-3m (No. 221)
One atom of each set of equivalent atoms:
Al (0.0000, 0.0000, 0.5000)  2 Ni 2.18
Ni (0.0000, 0.0000, 0.0000)  6 Al 2.18
Rh (0.5000, 0.5000, 0.5000)  12 Al 3.08

=====

No. 20
A relaxed structure of AlNi3Rh, computed with PBE.

Summary:
For the excess energy over the best structure of this formula in the dataset, the calculation gives 0.000 eV/atom. The calculated formation energy comes out at 0.87 eV/atom.

a b c (Å): 4.1869 4.1869 4.1869
angles (deg): 90.00 90.00 90.00
With the nearest neighbours (Å) after each atom.
Space group Pm-3m (No. 221)
One atom of each set of equivalent atoms:
Al (0.0000, 0.0000, 0.0000)  6 Ni 2.09
Ni (0.0000, 0.0000, 0.5000)  2 Al 2.09
Rh (0.5000, 0.5000, 0.5000)  12 Ni 2.96

=====

No. 21
A relaxed structure of Al2NiRh, computed with PBE.

Summary:
The calculated formation energy comes out at -0.85 eV/atom.

a b c (Å): 4.2033 2.9285 8.4001
angles (deg): 90.00 90.00 90.00
With the nearest neighbours (Å) after each atom.
Space group Pmma (No. 51)
One atom of each set of equivalent atoms:
Al (0.2500, 0.0000, 0.1162)  6 Ni 2.51-2.56, 2 Rh 2.60
Al (0.2500, 0.0000, 0.6312)  2 Ni 2.51, 6 Rh 2.56-2.62
Ni (0.2500, 0.5000, 0.8734)  8 Al 2.51-2.56
Rh (0.2500, 0.5000, 0.3719)  8 Al 2.56-2.62

=====

No. 22
A relaxed structure of Al5Ni4Rh, computed with PBE.

Summary:
The calculated formation energy comes out at -0.74 eV/atom.

a b c (Å): 2.9221 2.9221 14.5383
angles (deg): 90.00 90.00 90.00
With the nearest neighbours (Å) after each atom.
Space group P4/mmm (No. 123)
One atom of each set of equivalent atoms:
Al (0.0000, 0.0000, 0.0000)  8 Ni 2.51
Al (0.0000, 0.0000, 0.1960)  8 Ni 2.51
Al (0.0000, 0.0000, 0.3923)  4 Ni 2.51, 4 Rh 2.59
Ni (0.5000, 0.5000, 0.0981)  8 Al 2.51
Ni (0.5000, 0.5000, 0.2946)  8 Al 2.51
Rh (0.5000, 0.5000, 0.5000)  8 Al 2.59

=====

No. 23
A relaxed structure of AlNi2Rh2, computed with PBE.

Summary:
For the excess energy over the best structure of this formula in the dataset, the calculation gives 0.000 eV/atom. The calculated formation energy comes out at -0.10 eV/atom.

a b c (Å): 6.1224 6.1224 3.5763
angles (deg): 90.00 90.00 90.00
With the nearest neighbours (Å) after each atom.
Space group P4/mbm (No. 127)
One atom of each set of equivalent atoms:
Al (0.0000, 0.0000, 0.0000)  4 Ni 2.39
Ni (0.1333, 0.3667, 0.0000)  1 Ni 2.31, 2 Al 2.39, 6 Rh 2.51-2.56
Rh (0.1636, 0.6636, 0.5000)  6 Ni 2.51-2.56

=====

No. 24
A relaxed structure of Al2NiRh, computed with PBE.

Summary:
The calculated formation energy comes out at -0.76 eV/atom.

a b c (Å): 9.0645 2.8913 4.2136
angles (deg): 90.00 106.31 90.00
With the nearest neighbours (Å) after each atom.
Space group Cm (No. 8)
One atom of each set of equivalent atoms:
Al (0.0000, 0.0000, 0.0000)  3 Rh 2.54-2.56, 4 Ni 2.54-2.57
Al (0.2371, 0.0000, 0.6242)  3 Ni 2.51-2.58, 4 Rh 2.55-2.56
Ni (0.0011, 0.5000, 0.5048)  7 Al 2.51-2.58
Rh (0.2398, 0.5000, 0.1264)  7 Al 2.54-2.56

=====

No. 25
A relaxed structure of AlNiRuRh, computed with PBE.

Summary:
The calculated formation energy comes out at -0.33 eV/atom.

a b c (Å): 5.9530 5.9530 5.9530
angles (deg): 90.00 90.00 90.00
With the nearest neighbours (Å) after each atom.
Space group F-43m (No. 216)
One atom of each set of equivalent atoms:
Al (0.0000, 0.0000, 0.0000)  4 Ru 2.58, 4 Rh 2.58
Ni (0.0000, 0.0000, 0.5000)  4 Ru 2.58, 4 Rh 2.58
Ru (0.2500, 0.2500, 0.2500)  4 Ni 2.58, 4 Al 2.58
Rh (0.2500, 0.2500, 0.7500)  4 Ni 2.58, 4 Al 2.58